# LiDyB12 PBE-GGA relaxed
# **Total DFT energy (no corrections)**: -6.45 eV per atom
# **Energy of formation from the pure elements**: -3.7 eV per formula unit
# **Total moment**: 0.00 μB per formula unit
data_LiDyB12
_chemical_formula_sum 'Li1 Dy1 B12'
_symmetry_space_group_name_H-M 'P 4/m m m'
_symmetry_Int_Tables_number 123
_symmetry_space_group_name_Hall '-P 4 2'
_cell_length_a 4.1170
_cell_length_b 4.1170
_cell_length_c 8.2369
_cell_angle_alpha 90.00
_cell_angle_beta 90.00
_cell_angle_gamma 90.00
loop_
_atom_site_label
_atom_site_fract_x
_atom_site_fract_y
_atom_site_fract_z
_atom_site_occupancy
Li1 0.0000 0.0000 0.0000 1
Dy1 0.0000 0.0000 0.5000 1
B1 0.2003 0.5000 0.2520 1
B2 0.5000 0.5000 0.1009 1
B3 0.5000 0.5000 0.4009 1

# Th2BiTe PBE-GGA relaxed
# **Total DFT energy (no corrections)**: -6.26 eV per atom
# **Total moment**: 0.00 μB per formula unit
# **Energy above the most stable polymorph in this dataset**: 0.046 eV/atom
# **E_form (uncorrected)**: -794 meV per atom
data_Th2BiTe
_chemical_formula_sum 'Th6 Bi3 Te3'
_symmetry_space_group_name_H-M 'R -3 m'
_symmetry_Int_Tables_number 166
_symmetry_space_group_name_Hall '-R 3 2"'
_cell_length_a 4.5577
_cell_length_b 4.5577
_cell_length_c 21.9621
_cell_angle_alpha 90.00
_cell_angle_beta 90.00
_cell_angle_gamma 120.00
loop_
_atom_site_label
_atom_site_fract_x
_atom_site_fract_y
_atom_site_fract_z
_atom_site_occupancy
Th1 0.0000 0.0000 0.2455 1
Bi1 0.0000 0.0000 0.0000 1
Te1 0.0000 0.0000 0.5000 1

# Sr2Ge3AsPt4 PBE-GGA relaxed
# **Total DFT energy (no corrections)**: -5.41 eV per atom
# **Energy of formation from the pure elements**: -8.0 eV per formula unit
# **Total moment**: 0.00 μB per formula unit
data_Sr2Ge3AsPt4
_chemical_formula_sum 'Sr2 Ge3 As1 Pt4'
_symmetry_space_group_name_H-M 'P -4 m 2'
_symmetry_Int_Tables_number 115
_cell_length_a 4.4921
_cell_length_b 4.4921
_cell_length_c 10.0676
_cell_angle_alpha 90.00
_cell_angle_beta 90.00
_cell_angle_gamma 90.00
loop_
_symmetry_equiv_pos_as_xyz
'x,y,z'
'y,-x,-z'
'-x,-y,z'
'-y,x,-z'
'-x,y,z'
'-y,-x,-z'
'x,-y,z'
'y,x,-z'
loop_
_atom_site_label
_atom_site_fract_x
_atom_site_fract_y
_atom_site_fract_z
_atom_site_occupancy
Sr1 0.0000 0.5000 0.2471 1
Ge1 0.0000 0.0000 0.0000 1
Ge2 0.0000 0.5000 0.6235 1
As1 0.5000 0.5000 0.0000 1
Pt1 0.0000 0.0000 0.5000 1
Pt2 0.0000 0.5000 0.8749 1
Pt3 0.5000 0.5000 0.5000 1

# MnZn PBE-GGA relaxed
# **Total DFT energy (no corrections)**: -4.86 eV per atom
# **Energy of formation from the pure elements**: 0.7 eV per formula unit
# **Total moment**: 0.77 μB per formula unit
data_MnZn
_chemical_formula_sum 'Mn16 Zn16'
_symmetry_space_group_name_H-M 'F d d d'
_symmetry_Int_Tables_number 70
_cell_length_a 4.3107
_cell_length_b 7.1981
_cell_length_c 13.7053
_cell_angle_alpha 90.00
_cell_angle_beta 90.00
_cell_angle_gamma 90.00
loop_
_symmetry_equiv_pos_as_xyz
'x,y,z'
'-x,-y,-z'
'-x+1/4,-y+1/4,z'
'x+1/4,y+1/4,-z'
'x,-y+1/4,-z+1/4'
'-x,y+1/4,z+1/4'
'-x+1/4,y,-z+1/4'
'x+1/4,-y,z+1/4'
'x,y+1/2,z+1/2'
'-x,-y+1/2,-z+1/2'
'-x+1/4,-y+3/4,z+1/2'
'x+1/4,y+3/4,-z+1/2'
'x,-y+3/4,-z+3/4'
'-x,y+3/4,z+3/4'
'-x+1/4,y+1/2,-z+3/4'
'x+1/4,-y+1/2,z+3/4'
'x+1/2,y,z+1/2'
'-x+1/2,-y,-z+1/2'
'-x+3/4,-y+1/4,z+1/2'
'x+3/4,y+1/4,-z+1/2'
'x+1/2,-y+1/4,-z+3/4'
'-x+1/2,y+1/4,z+3/4'
'-x+3/4,y,-z+3/4'
'x+3/4,-y,z+3/4'
'x+1/2,y+1/2,z'
'-x+1/2,-y+1/2,-z'
'-x+3/4,-y+3/4,z'
'x+3/4,y+3/4,-z'
'x+1/2,-y+3/4,-z+1/4'
'-x+1/2,y+3/4,z+1/4'
'-x+3/4,y+1/2,-z+1/4'
'x+3/4,-y+1/2,z+1/4'
loop_
_atom_site_label
_atom_site_fract_x
_atom_site_fract_y
_atom_site_fract_z
_atom_site_occupancy
Mn1 0.1250 0.1250 0.0423 1
Zn1 0.1250 0.2920 0.6250 1

# AcIrCl6 PBE-GGA relaxed
# **Total DFT energy (no corrections)**: -4.35 eV per atom
# **Total moment**: 0.00 μB per formula unit
# **E_form (uncorrected)**: -1348 meV per atom
data_AcIrCl6
_chemical_formula_sum 'Ac2 Ir2 Cl12'
_symmetry_space_group_name_H-M 'C 1 2/m 1'
_symmetry_Int_Tables_number 12
_cell_length_a 6.5971
_cell_length_b 12.2502
_cell_length_c 6.4378
_cell_angle_alpha 90.00
_cell_angle_beta 105.98
_cell_angle_gamma 90.00
loop_
_symmetry_equiv_pos_as_xyz
'x,y,z'
'-x,-y,-z'
'-x,y,-z'
'x,-y,z'
'x+1/2,y+1/2,z'
'-x+1/2,-y+1/2,-z'
'-x+1/2,y+1/2,-z'
'x+1/2,-y+1/2,z'
loop_
_atom_site_label
_atom_site_fract_x
_atom_site_fract_y
_atom_site_fract_z
_atom_site_occupancy
Ac1 0.0000 0.0000 0.0000 1
Ir1 0.0000 0.5000 0.5000 1
Cl1 0.1950 0.3567 0.7177 1
Cl2 0.2399 0.5000 0.2881 1

# TlGaBr4 PBE-GGA relaxed
# **Total DFT energy (no corrections)**: -2.89 eV per atom
# **Total moment**: 0.00 μB per formula unit
# **Energy above the most stable polymorph in this dataset**: 0.011 eV/atom
# **E_form (uncorrected)**: -876 meV per atom
data_TlGaBr4
_chemical_formula_sum 'Tl4 Ga4 Br16'
_symmetry_space_group_name_H-M 'P 1 21/c 1'
_symmetry_Int_Tables_number 14
_cell_length_a 9.0624
_cell_length_b 10.2486
_cell_length_c 12.1037
_cell_angle_alpha 90.00
_cell_angle_beta 125.19
_cell_angle_gamma 90.00
loop_
_symmetry_equiv_pos_as_xyz
'x,y,z'
'-x,-y,-z'
'-x,y+1/2,-z+1/2'
'x,-y+1/2,z+1/2'
loop_
_atom_site_label
_atom_site_fract_x
_atom_site_fract_y
_atom_site_fract_z
_atom_site_occupancy
Tl1 0.2081 0.1593 0.2817 1
Ga1 0.3103 0.6700 0.2013 1
Br1 0.1204 0.6440 0.6236 1
Br2 0.1744 0.5079 0.2534 1
Br3 0.3446 0.6082 0.0282 1
Br4 0.3913 0.2130 0.1093 1

# Ca2Mg2Zn PBE-GGA relaxed
# **Total DFT energy (no corrections)**: -1.47 eV per atom
# **Energy of formation from the pure elements**: 1.1 eV per formula unit
# **Total moment**: 0.00 μB per formula unit
# **Energy above the most stable polymorph in this dataset**: 0.357 eV/atom
data_Ca2Mg2Zn
_chemical_formula_sum 'Ca4 Mg4 Zn2'
_symmetry_space_group_name_H-M 'P 4/n m m'
_symmetry_Int_Tables_number 129
_cell_length_a 4.3365
_cell_length_b 4.3365
_cell_length_c 17.1322
_cell_angle_alpha 90.00
_cell_angle_beta 90.00
_cell_angle_gamma 90.00
loop_
_symmetry_equiv_pos_as_xyz
'x,y,z'
'-x,-y,-z'
'-y+1/2,x,z'
'y+1/2,-x,-z'
'-x+1/2,-y+1/2,z'
'x+1/2,y+1/2,-z'
'y,-x+1/2,z'
'-y,x+1/2,-z'
'x+1/2,-y,-z'
'-x+1/2,y,z'
'-y,-x,-z'
'y,x,z'
'-x,y+1/2,-z'
'x,-y+1/2,z'
'y+1/2,x+1/2,-z'
'-y+1/2,-x+1/2,z'
loop_
_atom_site_label
_atom_site_fract_x
_atom_site_fract_y
_atom_site_fract_z
_atom_site_occupancy
Ca1 0.2500 0.2500 0.1610 1
Ca2 0.2500 0.7500 0.5000 1
Mg1 0.2500 0.2500 0.3495 1
Mg2 0.2500 0.7500 0.0000 1
Zn1 0.2500 0.2500 0.6414 1

Question: Which value of total moment does entry 7 give?
Answer: 0.00 μB per formula unit